Computed, not measured: crystalline AlZn2Fe at its relaxed geometry at the GGA-PBE level of DFT.

Cell lengths 6.0004, 6.0004, 6.0004 Å; angles 90.00, 90.00, 90.00 degrees
Fractional positions:
Al1 0.0000 0.0000 0.0000
Al2 0.0000 0.5000 0.5000
Al3 0.5000 0.0000 0.5000
Al4 0.5000 0.5000 0.0000
Zn1 0.0000 0.0000 0.5000
Zn2 0.0000 0.5000 0.0000
Zn3 0.2500 0.2500 0.2500
Zn4 0.2500 0.7500 0.7500
Zn5 0.5000 0.0000 0.0000
Zn6 0.5000 0.5000 0.5000
Zn7 0.7500 0.2500 0.7500
Zn8 0.7500 0.7500 0.2500
Fe1 0.2500 0.2500 0.7500
Fe2 0.2500 0.7500 0.2500
Fe3 0.7500 0.2500 0.2500
Fe4 0.7500 0.7500 0.7500

## Properties
- Formation energy from the elements: 0.221 eV/f.u.

---

Computed, not measured: crystalline Nb2OsS at its relaxed geometry at the GGA-PBE level of DFT.

Cell lengths 5.3683, 5.3683, 12.4856 Å; angles 90.00, 90.00, 90.00 degrees
Fractional positions:
Nb1 0.2348 0.2500 0.1250
Nb2 0.2500 0.7348 0.3750
Nb3 0.2500 0.7652 0.8750
Nb4 0.2652 0.2500 0.6250
Nb5 0.7348 0.7500 0.6250
Nb6 0.7500 0.2348 0.8750
Nb7 0.7500 0.2652 0.3750
Nb8 0.7652 0.7500 0.1250
Os1 0.0000 0.0000 0.5000
Os2 0.0000 0.5000 0.7500
Os3 0.5000 0.0000 0.2500
Os4 0.5000 0.5000 0.0000
S1 0.0000 0.0000 0.0000
S2 0.0000 0.5000 0.2500
S3 0.5000 0.0000 0.7500
S4 0.5000 0.5000 0.5000

## Properties
- Formation energy (no corrections): 1.35 eV per formula unit

---

Computed, not measured: crystalline TaH3Ru at its relaxed geometry at the GGA-PBE level of DFT.

Cell lengths 3.5360, 3.5360, 3.5360 Å; angles 90.00, 90.00, 90.00 degrees
Fractional positions:
Ta1 0.0000 0.0000 0.0000
H1 0.0000 0.0000 0.5000
H2 0.0000 0.5000 0.0000
H3 0.5000 0.0000 0.0000
Ru1 0.5000 0.5000 0.5000

## Properties
- DFT total energy: -28.8 eV/cell

---

Computed, not measured: crystalline AsOs2Se at its relaxed geometry at the GGA-PBE level of DFT.

Cell lengths 3.0941, 3.0941, 6.3664 Å; angles 90.00, 90.00, 90.00 degrees
Fractional positions:
As1 0.0000 0.0000 0.0000
Os1 0.5000 0.5000 0.2294
Os2 0.5000 0.5000 0.7706
Se1 0.0000 0.0000 0.5000

## Properties
- Relative energy among the computed polymorphs: 370 meV/atom
- Formation energy (no corrections): 2.44 eV per formula unit

---

Computed, not measured: crystalline Zr2Br at its relaxed geometry at the GGA-PBE level of DFT.

Cell lengths 5.1196, 5.1196, 3.1283 Å; angles 90.00, 90.00, 120.00 degrees
Fractional positions:
Zr1 0.3333 0.6667 0.0000
Zr2 0.6667 0.3333 0.0000
Br1 0.0000 0.0000 0.5000

## Properties
- Relative energy among the computed polymorphs: 922 meV/atom
- Formation energy (no corrections): 1.75 eV per formula unit

---

Computed, not measured: crystalline YMg2Cd2 at its relaxed geometry at the GGA-PBE level of DFT.

Cell lengths 8.4373, 8.4373, 3.3699 Å; angles 90.00, 90.00, 90.00 degrees
Fractional positions:
Y1 0.0000 0.0000 0.0000
Y2 0.5000 0.5000 0.0000
Mg1 0.1710 0.3290 0.5000
Mg2 0.3290 0.8290 0.5000
Mg3 0.6710 0.1710 0.5000
Mg4 0.8290 0.6710 0.5000
Cd1 0.1268 0.6268 0.0000
Cd2 0.3732 0.1268 0.0000
Cd3 0.6268 0.8732 0.0000
Cd4 0.8732 0.3732 0.0000

## Properties
- Relative energy among the computed polymorphs: 44 meV/atom
- Formation energy from the elements: -0.607 eV/f.u.